Entry from Alexandria via LeMat-Bulk: crystalline CsK2BiCl6 at its relaxed geometry (PBE-GGA).

For the energy relative to the elements, uncorrected, the calculation gives -1634.4 meV per atom. The calculation puts the calculated density at 3.100 g/cm³. For the energy above the lowest structure with this stoichiometry, the calculation gives 0.000 eV/atom.

It has space group C2/c (No. 15), with a = 25.948 Å, b = 7.876 Å, c = 13.430 Å, α = 90.00°, β = 98.87° and γ = 90.00°. The inequivalent atoms are Cs at (0.052, 0.232, 0.432), K at (0.156, 0.192, 0.138), K at (0.163, 0.316, 0.806), Bi at (0.000, 0.285, 0.750), Bi at (0.250, 0.250, 0.500), Cl at (0.055, 0.270, 0.939), Cl at (0.066, 0.463, 0.206), Cl at (0.068, 0.051, 0.690), Cl at (0.173, 0.473, 0.520), Cl at (0.175, 0.014, 0.439) and Cl at (0.248, 0.374, 0.306).